Here is an optimized crystal structure of Pu2ScUP4 from Alexandria via LeMat-Bulk. Energies are from PBE-GGA.

Summary:
Total energy   -77.3 eV for the cell shown
Total magnetic moment   1.642 μB/cell
Calculated volume   21.2 Å³/atom
Energy relative to the elements   -1.173 eV per atom

a = 6.752 Å, b = 3.930 Å, c = 6.788 Å
α = 90.00°, β = 109.68°, γ = 90.00°
Space group P2/m (No. 10)
One atom of each set of equivalent atoms:
Pu  0.000  0.000  0.000
Pu  0.500  0.500  0.000
Sc  0.000  0.500  0.500
U  0.500  0.000  0.500
P  0.245  0.000  0.739
P  0.248  0.500  0.260